Entry P
First-principles (PBE-GGA) data for a relaxed Rh3WS crystal, as listed in the Alexandria database.

Output
DOS at the Fermi energy = 5.5 states/eV per cell

Cell: 4.7099 4.7099 4.7099 Å, 90.00 90.00 90.00°
Fractional positions:
Rh (0.0000, 0.0000, 0.5000)
Rh (0.0000, 0.5000, 0.0000)
Rh (0.5000, 0.0000, 0.0000)
W (0.0000, 0.0000, 0.0000)
S (0.5000, 0.5000, 0.5000)

Entry Q
First-principles (PBE-GGA) data for a relaxed Rh3WS crystal, as listed in the Alexandria database.

Output
DOS at the Fermi energy = 10.9 states/eV per cell

Cell: 4.3579 4.3579 4.3579 Å, 90.00 90.00 90.00°
Fractional positions:
Rh (0.0000, 0.0000, 0.5000)
Rh (0.0000, 0.5000, 0.0000)
Rh (0.5000, 0.0000, 0.0000)
W (0.5000, 0.5000, 0.5000)
S (0.0000, 0.0000, 0.0000)

Which of them is the least stable? Correct choice: entry P.